DFT (GGA-PBE) results for an optimized crystal structure of Tb4TlNi2.

Values from the calculation:
energy of formation = -0.181 eV per atom
magnetic moment = 0.00 μB per formula unit

Cell: 4.7559 4.7559 27.4245 Å, 90.00 90.00 120.00°
Space group R-3m (No. 166, hexagonal axes)
Asymmetric unit:
Tb 0.0000 0.0000 0.1113 x6
Tb 0.0000 0.0000 0.2977 x6
Tl 0.0000 0.0000 0.5000 x3
Ni 0.0000 0.0000 0.4002 x6